Below is an optimized crystal structure of Li2Tm3Al7, with properties calculated at the PBE level.

Computed properties:
DOS(E_F) = 0.576 states/eV/atom
calculated total energy = -3.99 eV per atom
V = 18.83 Å³/atom
formation energy = -428.0 kJ/mol of formula units

Unit cell a=5.510 b=5.510 c=9.162 alpha=72.50 beta=72.50 gamma=60.00
Sites, in units of the cell vectors:
Al: 0.585 0.585 0.753
Al: 0.585 0.076 0.753
Al: 0.924 0.415 0.247
Al: 0.076 0.585 0.753
Al: 0.415 0.415 0.247
Al: 0.500 0.500 0.500
Al: 0.415 0.924 0.247
Li: 0.335 0.335 0.994
Li: 0.665 0.665 0.006
Tm: 0.858 0.858 0.425
Tm: 0.142 0.142 0.575
Tm: 0.000 0.000 0.000

***

Below is an optimized crystal structure of LiTm4Al3, with properties calculated at the PBE level.

Computed properties:
DOS(E_F) = 0.461 states/eV/atom
calculated total energy = -4.20 eV per atom
V = 22.75 Å³/atom
formation energy = -247.3 kJ/mol of formula units

Unit cell a=4.992 b=4.992 c=8.114 alpha=107.98 beta=107.98 gamma=89.90
Sites, in units of the cell vectors:
Tm: 0.127 0.127 0.254
Tm: 0.627 0.627 0.254
Tm: 0.373 0.373 0.746
Tm: 0.873 0.873 0.746
Al: 0.252 0.752 0.504
Al: 0.000 0.500 0.000
Al: 0.748 0.248 0.496
Li: 0.500 0.000 0.000

***

Below is an optimized crystal structure of LiTm3Al, with properties calculated at the PBE level.

Computed properties:
DOS(E_F) = 0.978 states/eV/atom
calculated total energy = -3.96 eV per atom
V = 24.82 Å³/atom
formation energy = -70.4 kJ/mol of formula units

Unit cell a=4.999 b=4.999 c=10.240 alpha=90.00 beta=75.87 gamma=90.00
Sites, in units of the cell vectors:
Li: 0.482 0.750 0.684
Li: 0.166 0.250 0.316
Al: 0.983 0.250 0.682
Al: 0.665 0.750 0.318
Tm: 0.887 0.750 0.873
Tm: 0.075 0.750 0.499
Tm: 0.387 0.250 0.875
Tm: 0.574 0.250 0.501
Tm: 0.262 0.750 0.125
Tm: 0.761 0.250 0.127

***

Below is an optimized crystal structure of LiTm3Al12, with properties calculated at the PBE level.

Computed properties:
DOS(E_F) = 0.315 states/eV/atom
calculated total energy = -4.09 eV per atom
V = 18.19 Å³/atom
formation energy = -503.6 kJ/mol of formula units

Unit cell a=4.186 b=4.186 c=16.608 alpha=90.00 beta=90.00 gamma=90.00
Sites, in units of the cell vectors:
Al: 0.500 0.000 0.113
Al: 0.500 0.500 0.000
Al: 0.500 0.000 0.372
Al: 0.000 0.500 0.372
Al: 0.500 0.500 0.500
Al: 0.500 0.000 0.628
Al: 0.000 0.500 0.113
Al: 0.500 0.500 0.246
Al: 0.000 0.500 0.887
Al: 0.500 0.000 0.887
Al: 0.500 0.500 0.754
Al: 0.000 0.500 0.628
Tm: 0.000 0.000 0.500
Tm: 0.000 0.000 0.244
Tm: 0.000 0.000 0.756
Li: 0.000 0.000 0.000

***

Below is an optimized crystal structure of LiTm2Al, with properties calculated at the PBE level.

Computed properties:
ΔE to the lowest computed polymorph = 0.023 eV/atom
DOS(E_F) = 0.914 states/eV/atom
calculated total energy = -3.83 eV per atom
V = 23.26 Å³/atom
formation energy = -70.6 kJ/mol of formula units

Unit cell a=3.663 b=5.040 c=5.040 alpha=90.00 beta=90.00 gamma=90.00
Sites, in units of the cell vectors:
Li: 0.500 0.500 0.500
Tm: 0.000 0.500 0.000
Tm: 0.000 0.000 0.500
Al: 0.500 0.000 0.000

***

Below is an optimized crystal structure of LiTm5Al4, with properties calculated at the PBE level.

Computed properties:
DOS(E_F) = 0.370 states/eV/atom
calculated total energy = -4.23 eV per atom
V = 22.76 Å³/atom
formation energy = -293.7 kJ/mol of formula units

Unit cell a=3.528 b=3.528 c=18.289 alpha=90.00 beta=90.00 gamma=90.00
Sites, in units of the cell vectors:
Al: 0.000 0.000 0.204
Al: 0.000 0.000 0.598
Al: 0.000 0.000 0.796
Al: 0.000 0.000 0.402
Li: 0.000 0.000 0.000
Tm: 0.500 0.500 0.500
Tm: 0.500 0.500 0.696
Tm: 0.500 0.500 0.891
Tm: 0.500 0.500 0.304
Tm: 0.500 0.500 0.109

***

Below is an optimized crystal structure of LiTm2Al, with properties calculated at the PBE level.

Computed properties:
ΔE to the lowest computed polymorph = 0.000 eV/atom
DOS(E_F) = 0.869 states/eV/atom
calculated total energy = -3.86 eV per atom
V = 23.19 Å³/atom
formation energy = -79.3 kJ/mol of formula units

Unit cell a=5.081 b=5.081 c=5.081 alpha=60.00 beta=60.00 gamma=60.00
Sites, in units of the cell vectors:
Li: 0.000 0.000 0.000
Tm: 0.250 0.250 0.250
Tm: 0.750 0.750 0.750
Al: 0.500 0.500 0.500

***

Below is an optimized crystal structure of LiTm7Al4, with properties calculated at the PBE level.

Computed properties:
DOS(E_F) = 0.974 states/eV/atom
calculated total energy = -4.06 eV per atom
V = 25.44 Å³/atom
formation energy = -53.9 kJ/mol of formula units

Unit cell a=5.349 b=8.780 c=7.402 alpha=75.98 beta=68.82 gamma=72.27
Sites, in units of the cell vectors:
Al: 0.675 0.661 0.989
Al: 0.553 0.247 0.647
Al: 0.447 0.753 0.353
Al: 0.325 0.339 0.011
Li: 0.000 0.000 0.000
Tm: 0.721 0.329 0.228
Tm: 0.790 0.878 0.542
Tm: 0.933 0.396 0.739
Tm: 0.210 0.122 0.458
Tm: 0.279 0.671 0.772
Tm: 0.500 0.000 0.000
Tm: 0.067 0.604 0.261